# 1
# PBE Tm2ScTl2Ag2, optimized geometry
# * M_tot: 1.43 μB per cell
# * formation energy: -0.071 eV per atom
# * N(E_F): 1.05 states/eV/atom
# * crystal system: trigonal
data_Tm2ScTl2Ag2
_chemical_formula_sum 'Tm6 Sc3 Tl6 Ag6'
_cell_length_a 4.8819
_cell_length_b 4.8819
_cell_length_c 24.3329
_cell_angle_alpha 90.00
_cell_angle_beta 90.00
_cell_angle_gamma 120.00
_space_group_name_H-M_alt 'R -3 m'
_space_group_IT_number 166
_space_group_name_Hall '-R 3 2"'
loop_
_atom_site_label
_atom_site_fract_x
_atom_site_fract_y
_atom_site_fract_z
_atom_site_occupancy
Tm1 0.0000 0.0000 0.1314 1
Sc1 0.0000 0.0000 0.0000 1
Tl1 0.0000 0.0000 0.2712 1
Ag1 0.0000 0.0000 0.4324 1

# 2
# PBE ScTlV2Ag, optimized geometry
# * M_tot: 6.89 μB per cell
# * formation energy: 1.190 eV per atom
# * N(E_F): 1.55 states/eV/atom
# * crystal system: tetragonal
data_ScTlV2Ag
_chemical_formula_sum 'Sc1 Tl1 V2 Ag1'
_cell_length_a 4.998
_cell_length_b 4.998
_cell_length_c 5.067
_cell_angle_alpha 90.00
_cell_angle_beta 90.00
_cell_angle_gamma 90.00
_space_group_name_H-M_alt 'P 4/m m m'
_space_group_IT_number 123
_space_group_name_Hall '-P 4 2'
loop_
_atom_site_label
_atom_site_fract_x
_atom_site_fract_y
_atom_site_fract_z
_atom_site_occupancy
Sc1 0.000 0.000 0.000 1
Tl1 0.500 0.500 0.000 1
V1 0.000 0.500 0.500 1
Ag1 0.500 0.500 0.500 1

# 3
# PBE YScTlAg, optimized geometry
# * M_tot: 0.26 μB per cell
# * formation energy: -0.321 eV per atom
# * N(E_F): 0.81 states/eV/atom
# * crystal system: cubic
data_YScTlAg
_chemical_formula_sum 'Y4 Sc4 Tl4 Ag4'
_cell_length_a 7.258
_cell_length_b 7.258
_cell_length_c 7.258
_cell_angle_alpha 90.00
_cell_angle_beta 90.00
_cell_angle_gamma 90.00
_space_group_name_H-M_alt 'F -4 3 m'
_space_group_IT_number 216
_space_group_name_Hall 'F -4 2 3'
loop_
_atom_site_label
_atom_site_fract_x
_atom_site_fract_y
_atom_site_fract_z
_atom_site_occupancy
Y1 0.000 0.000 0.000 1
Sc1 0.000 0.000 0.500 1
Tl1 0.250 0.250 0.250 1
Ag1 0.250 0.250 0.750 1

# 4
# PBE Sc4TlZn2Ag, optimized geometry
# * M_tot: 0.00 μB per cell
# * formation energy: -0.307 eV per atom
# * N(E_F): 0.86 states/eV/atom
# * crystal system: trigonal
data_Sc4TlZn2Ag
_chemical_formula_sum 'Sc12 Tl3 Zn6 Ag3'
_cell_length_a 4.8634
_cell_length_b 4.8634
_cell_length_c 23.9074
_cell_angle_alpha 90.00
_cell_angle_beta 90.00
_cell_angle_gamma 120.00
_space_group_name_H-M_alt 'R -3 m'
_space_group_IT_number 166
_space_group_name_Hall '-R 3 2"'
loop_
_atom_site_label
_atom_site_fract_x
_atom_site_fract_y
_atom_site_fract_z
_atom_site_occupancy
Sc1 0.0000 0.0000 0.1217 1
Sc2 0.0000 0.0000 0.3724 1
Tl1 0.0000 0.0000 0.5000 1
Zn1 0.0000 0.0000 0.2518 1
Ag1 0.0000 0.0000 0.0000 1

# 5
# PBE Sc2TlZnAg, optimized geometry
# * M_tot: 0.00 μB per cell
# * formation energy: 0.671 eV per atom
# * N(E_F): 1.62 states/eV/atom
# * crystal system: tetragonal
data_Sc2TlZnAg
_chemical_formula_sum 'Sc2 Tl1 Zn1 Ag1'
_cell_length_a 5.417
_cell_length_b 5.417
_cell_length_c 5.176
_cell_angle_alpha 90.00
_cell_angle_beta 90.00
_cell_angle_gamma 90.00
_space_group_name_H-M_alt 'P 4/m m m'
_space_group_IT_number 123
_space_group_name_Hall '-P 4 2'
loop_
_atom_site_label
_atom_site_fract_x
_atom_site_fract_y
_atom_site_fract_z
_atom_site_occupancy
Sc1 0.000 0.500 0.000 1
Tl1 0.000 0.000 0.000 1
Zn1 0.500 0.500 0.500 1
Ag1 0.000 0.000 0.500 1

# 6
# PBE Sc4Tl2ZnAg, optimized geometry
# * M_tot: 2.53 μB per cell
# * formation energy: -0.298 eV per atom
# * N(E_F): 0.95 states/eV/atom
# * crystal system: trigonal
data_Sc4Tl2ZnAg
_chemical_formula_sum 'Sc12 Tl6 Zn3 Ag3'
_cell_length_a 4.9542
_cell_length_b 4.9542
_cell_length_c 24.2413
_cell_angle_alpha 90.00
_cell_angle_beta 90.00
_cell_angle_gamma 120.00
_space_group_name_H-M_alt 'R -3 m'
_space_group_IT_number 166
_space_group_name_Hall '-R 3 2"'
loop_
_atom_site_label
_atom_site_fract_x
_atom_site_fract_y
_atom_site_fract_z
_atom_site_occupancy
Sc1 0.0000 0.0000 0.1234 1
Sc2 0.0000 0.0000 0.3737 1
Tl1 0.0000 0.0000 0.2487 1
Zn1 0.0000 0.0000 0.0000 1
Ag1 0.0000 0.0000 0.5000 1

# 7
# PBE ZrScTlAg, optimized geometry
# * M_tot: 3.31 μB per cell
# * formation energy: -0.133 eV per atom
# * N(E_F): 0.76 states/eV/atom
# * crystal system: cubic
data_ZrScTlAg
_chemical_formula_sum 'Zr4 Sc4 Tl4 Ag4'
_cell_length_a 7.036
_cell_length_b 7.036
_cell_length_c 7.036
_cell_angle_alpha 90.00
_cell_angle_beta 90.00
_cell_angle_gamma 90.00
_space_group_name_H-M_alt 'F -4 3 m'
_space_group_IT_number 216
_space_group_name_Hall 'F -4 2 3'
loop_
_atom_site_label
_atom_site_fract_x
_atom_site_fract_y
_atom_site_fract_z
_atom_site_occupancy
Zr1 0.000 0.000 0.000 1
Sc1 0.000 0.000 0.500 1
Tl1 0.250 0.250 0.750 1
Ag1 0.250 0.250 0.250 1

# 8
# PBE Tm2ScAg, optimized geometry
# * M_tot: 0.00 μB per cell
# * formation energy: -0.009 eV per atom
# * N(E_F): 1.04 states/eV/atom
# * crystal system: trigonal
# * polymorph energy (0 for the lowest one): 10.99 kJ per mole of atoms
data_Tm2ScAg
_chemical_formula_sum 'Tm6 Sc3 Ag3'
_cell_length_a 3.4161
_cell_length_b 3.4161
_cell_length_c 30.4958
_cell_angle_alpha 90.00
_cell_angle_beta 90.00
_cell_angle_gamma 120.00
_space_group_name_H-M_alt 'R -3 m'
_space_group_IT_number 166
_space_group_name_Hall '-R 3 2"'
loop_
_atom_site_label
_atom_site_fract_x
_atom_site_fract_y
_atom_site_fract_z
_atom_site_occupancy
Tm1 0.0000 0.0000 0.2451 1
Sc1 0.0000 0.0000 0.0000 1
Ag1 0.0000 0.0000 0.5000 1

| no. | VASP energy (eV/atom) |
| --- | --- |
| 1 | -3.744 |
| 2 | -4.767 |
| 3 | -4.824 |
| 4 | -4.444 |
| 5 | -3.160 |
| 6 | -4.571 |
| 7 | -5.157 |
| 8 | -4.540 |